No. 1
First-principles (GGA-PBE) data for a relaxed Gd2Si2O7 crystal, as listed in OQMD.

Values from the calculation:
Total energy in eV for the cell shown: -719.66

abc: 6.620 6.620 24.127
angles: 90.00 90.00 90.00
Space group P4_1 (No. 76)
Inequivalent atoms, fractional coordinates:
Gd 0.017 0.657 0.000 (multiplicity 4)
Gd 0.155 0.586 0.355 (multiplicity 4)
Gd 0.225 0.282 0.104 (multiplicity 4)
Gd 0.243 0.363 0.741 (multiplicity 4)
Si 0.105 0.180 0.967 (multiplicity 4)
Si 0.130 0.768 0.121 (multiplicity 4)
Si 0.229 0.513 0.224 (multiplicity 4)
Si 0.244 0.641 0.616 (multiplicity 4)
O 0.003 0.038 0.740 (multiplicity 4)
O 0.043 0.270 0.390 (multiplicity 4)
O 0.054 0.642 0.446 (multiplicity 4)
O 0.057 0.489 0.271 (multiplicity 4)
O 0.075 0.173 0.589 (multiplicity 4)
O 0.084 0.616 0.174 (multiplicity 4)
O 0.086 0.607 0.565 (multiplicity 4)
O 0.100 0.777 0.659 (multiplicity 4)
O 0.222 0.427 0.841 (multiplicity 4)
O 0.271 0.284 0.007 (multiplicity 4)
O 0.275 0.632 0.080 (multiplicity 4)
O 0.306 0.686 0.947 (multiplicity 4)
O 0.333 0.448 0.650 (multiplicity 4)
O 0.334 0.401 0.497 (multiplicity 4)

No. 2
First-principles (GGA-PBE) data for a relaxed NaZrCoSi crystal, as listed in OQMD.

Values from the calculation:
Polymorph energy (0 for the lowest one) in kcal/mol of atoms: 4.151
Total energy in eV for the cell shown: -87.55

abc: 6.452 6.452 6.452
angles: 90.00 90.00 90.00
Space group F-43m (No. 216)
Inequivalent atoms, fractional coordinates:
Na 0.000 0.000 0.000 (multiplicity 4)
Zr 0.000 0.000 0.500 (multiplicity 4)
Co 0.250 0.250 0.750 (multiplicity 4)
Si 0.250 0.250 0.250 (multiplicity 4)

No. 3
First-principles (GGA-PBE) data for a relaxed RbHoTe3Pb crystal, as listed in OQMD.

Values from the calculation:
Polymorph energy (0 for the lowest one) in kcal/mol of atoms: 0.000
Total energy in eV for the cell shown: -98.29

abc: 19.775 4.535 10.581
angles: 90.00 102.49 90.00
Space group C2/m (No. 12)
Inequivalent atoms, fractional coordinates:
Rb 0.148 0.000 0.069 (multiplicity 4)
Ho 0.171 0.000 0.574 (multiplicity 4)
Te 0.000 0.000 0.500 (multiplicity 2)
Te 0.000 0.500 0.000 (multiplicity 2)
Te 0.168 0.500 0.772 (multiplicity 4)
Te 0.171 0.500 0.373 (multiplicity 4)
Pb 0.007 0.500 0.718 (multiplicity 4)

No. 4
First-principles (GGA-PBE) data for a relaxed RbAg3MoSe4 crystal, as listed in OQMD.

Values from the calculation:
Total energy in eV for the cell shown: -37.09

abc: 6.487 6.487 6.487
angles: 90.00 90.00 90.00
Space group P-43m (No. 215)
Inequivalent atoms, fractional coordinates:
Rb 0.000 0.000 0.000 (multiplicity 1)
Ag 0.000 0.500 0.500 (multiplicity 3)
Mo 0.500 0.500 0.500 (multiplicity 1)
Se 0.282 0.282 0.282 (multiplicity 4)

Q: Number 2 is which compound?
A: NaZrCoSi

Repeat the third record exactly.
First-principles (GGA-PBE) data for a relaxed RbHoTe3Pb crystal, as listed in OQMD.

Values from the calculation:
Polymorph energy (0 for the lowest one) in kcal/mol of atoms: 0.000
Total energy in eV for the cell shown: -98.29

abc: 19.775 4.535 10.581
angles: 90.00 102.49 90.00
Space group C2/m (No. 12)
Inequivalent atoms, fractional coordinates:
Rb 0.148 0.000 0.069 (multiplicity 4)
Ho 0.171 0.000 0.574 (multiplicity 4)
Te 0.000 0.000 0.500 (multiplicity 2)
Te 0.000 0.500 0.000 (multiplicity 2)
Te 0.168 0.500 0.772 (multiplicity 4)
Te 0.171 0.500 0.373 (multiplicity 4)
Pb 0.007 0.500 0.718 (multiplicity 4)

Q: The lowest total energy belongs to which entry?
A: Gd2Si2O7

Q: The lowest total energy belongs to which entry?
A: Gd2Si2O7